Record 1
Crystalline SrCa5Mg3 at its relaxed geometry. Source: the Alexandria database, functional PBE-GGA.

The structure in POSCAR format:
```
SrCa5Mg3
1.0
7.262 0.000 0.000
0.000 10.172 0.000
0.000 -5.086 8.808
Sr Mg Ca
2 6 10
Direct
0.000 0.000 0.000
0.500 0.000 0.000
0.750 0.000 0.666
0.250 0.666 0.666
0.250 0.334 0.000
0.750 0.334 0.334
0.250 0.000 0.334
0.750 0.666 0.000
0.750 0.000 0.339
0.500 0.667 0.333
0.250 0.661 0.000
0.000 0.333 0.667
0.750 0.339 0.000
0.250 0.339 0.339
0.750 0.661 0.661
0.000 0.667 0.333
0.250 0.000 0.661
0.500 0.333 0.667
```

Results
Calculated density: 1.84 g/cm3
ΔH_f (0 K): -0.014 eV per atom
Volume: 36.1 Å³ per atom
D(E_F): 9.39 states/eV/f.u.

***

Record 2
Crystalline Sr5CaMg6 at its relaxed geometry. Source: the Alexandria database, functional PBE-GGA.

The structure in POSCAR format:
```
Sr5CaMg6
1.0
5.849 -0.380 0.969
-0.022 7.487 3.070
1.387 0.223 10.130
Sr Mg Ca
5 6 1
Direct
0.336 0.335 0.329
0.664 0.665 0.671
0.000 0.500 0.000
0.670 0.171 0.658
0.330 0.829 0.342
0.161 0.922 0.675
0.838 0.597 0.325
0.500 0.231 0.000
0.839 0.078 0.325
0.500 0.769 0.000
0.162 0.403 0.675
0.000 0.000 0.000
```

Results
Calculated density: 2.42 g/cm3
ΔH_f (0 K): -0.058 eV per atom
Volume: 35.7 Å³ per atom
D(E_F): 11.32 states/eV/f.u.

***

Record 3
Crystalline SrCa10Mg2 at its relaxed geometry. Source: the Alexandria database, functional PBE-GGA.

The structure in POSCAR format:
```
SrCa10Mg2
1.0
-1.911 3.510 -5.757
-9.428 0.710 -0.704
-0.729 9.155 1.558
Ca Mg Sr
10 2 1
Direct
0.500 0.000 0.500
0.651 0.362 0.337
0.349 0.638 0.663
0.987 0.362 0.663
0.717 0.774 0.793
0.283 0.226 0.207
0.490 0.226 0.793
0.000 0.000 0.500
0.013 0.638 0.337
0.510 0.774 0.207
0.000 0.500 0.000
0.500 0.500 0.000
0.000 0.000 0.000
```

Results
Calculated density: 1.67 g/cm3
ΔH_f (0 K): 0.034 eV per atom
Volume: 41.0 Å³ per atom
D(E_F): 14.67 states/eV/f.u.

***

Record 4
Crystalline Sr4Ca4Mg at its relaxed geometry. Source: the Alexandria database, functional PBE-GGA.

The structure in POSCAR format:
```
Sr4Ca4Mg
1.0
-4.977 -2.052 -2.005
-1.157 -8.216 3.051
-6.446 2.021 5.702
Sr Ca Mg
4 4 1
Direct
0.500 0.181 0.319
0.500 0.819 0.681
0.181 0.819 0.319
0.819 0.181 0.681
0.842 0.816 0.000
0.158 0.500 0.684
0.842 0.500 0.316
0.158 0.184 0.000
0.500 0.500 0.000
```

Results
Calculated density: 2.21 g/cm3
ΔH_f (0 K): 0.020 eV per atom
Volume: 44.6 Å³ per atom
D(E_F): 10.92 states/eV/f.u.